[1]
Entry from the Alexandria database: La4Nd15Y after structural relaxation (PBE).

Computed properties:
crystal system: tetragonal
raw total energy: -97.385 eV per cell
DFT formation energy: 0.0153 eV per atom

```
data_La4Nd15Y
_symmetry_space_group_name_H-M 'P 4/m m m'
_symmetry_Int_Tables_number 123
_symmetry_space_group_name_Hall '-P 4 2'
_cell_length_a 5.225
_cell_length_b 5.225
_cell_length_c 26.065
_cell_angle_alpha 90.00
_cell_angle_beta 90.00
_cell_angle_gamma 90.00
loop_
_atom_site_label
_atom_site_type_symbol
_atom_site_fract_x
_atom_site_fract_y
_atom_site_fract_z
_atom_site_occupancy
La1 La 0.000 0.000 0.101 1
La2 La 0.000 0.000 0.301 1
Nd1 Nd 0.000 0.500 0.000 1
Nd2 Nd 0.000 0.500 0.201 1
Nd3 Nd 0.000 0.500 0.402 1
Nd4 Nd 0.500 0.500 0.100 1
Nd5 Nd 0.500 0.500 0.302 1
Nd6 Nd 0.500 0.500 0.500 1
Y1 Y 0.000 0.000 0.500 1
```

[2]
Entry from the Alexandria database: La4Nd7Y after structural relaxation (PBE).

Computed properties:
crystal system: triclinic
energy relative to the lowest polymorph listed for this composition: 0.0 kJ per mole of atoms
raw total energy: -59.336 eV per cell
DFT formation energy: 0.0177 eV per atom

```
data_La4Nd7Y
_symmetry_space_group_name_H-M 'P -1'
_symmetry_Int_Tables_number 2
_symmetry_space_group_name_Hall '-P 1'
_cell_length_a 6.437
_cell_length_b 7.433
_cell_length_c 9.240
_cell_angle_alpha 90.05
_cell_angle_beta 103.52
_cell_angle_gamma 90.03
loop_
_atom_site_label
_atom_site_type_symbol
_atom_site_fract_x
_atom_site_fract_y
_atom_site_fract_z
_atom_site_occupancy
La1 La 0.222 0.251 0.170 1
La2 La 0.276 0.000 0.831 1
Nd1 Nd 0.001 0.748 0.499 1
Nd2 Nd 0.225 0.747 0.172 1
Nd3 Nd 0.278 0.500 0.830 1
Nd4 Nd 0.500 0.000 0.500 1
Y1 Y 0.500 0.500 0.500 1
```

[3]
Entry from the Alexandria database: LaNdY after structural relaxation (PBE).

Computed properties:
crystal system: tetragonal
energy relative to the lowest polymorph listed for this composition: 0.8 kJ per mole of atoms
raw total energy: -32.169 eV per cell
DFT formation energy: 0.0250 eV per atom

```
data_LaNdY
_symmetry_space_group_name_H-M 'I 4 m m'
_symmetry_Int_Tables_number 107
_symmetry_space_group_name_Hall 'I 4 -2'
_cell_length_a 3.684
_cell_length_b 3.684
_cell_length_c 15.475
_cell_angle_alpha 90.00
_cell_angle_beta 90.00
_cell_angle_gamma 90.00
loop_
_atom_site_label
_atom_site_type_symbol
_atom_site_fract_x
_atom_site_fract_y
_atom_site_fract_z
_atom_site_occupancy
La1 La 0.000 0.000 0.000 1
Nd1 Nd 0.000 0.000 0.331 1
Y1 Y 0.000 0.000 0.668 1
```

[4]
Entry from the Alexandria database: La2NdY2 after structural relaxation (PBE).

Computed properties:
crystal system: monoclinic
energy relative to the lowest polymorph listed for this composition: 0.0 kJ per mole of atoms
raw total energy: -105.880 eV per cell
DFT formation energy: 0.2162 eV per atom

```
data_La2NdY2
_symmetry_space_group_name_H-M 'C 1 2/c 1'
_symmetry_Int_Tables_number 15
_symmetry_space_group_name_Hall '-C 2yc'
_cell_length_a 8.887
_cell_length_b 9.624
_cell_length_c 8.855
_cell_angle_alpha 90.00
_cell_angle_beta 108.38
_cell_angle_gamma 90.00
loop_
_atom_site_label
_atom_site_type_symbol
_atom_site_fract_x
_atom_site_fract_y
_atom_site_fract_z
_atom_site_occupancy
La1 La 0.000 0.000 0.000 1
La2 La 0.250 0.250 0.000 1
Nd1 Nd 0.000 0.300 0.250 1
Y1 Y 0.153 0.404 0.632 1
```

[5]
Entry from the Alexandria database: La2Nd15Y2 after structural relaxation (PBE).

Computed properties:
crystal system: trigonal
raw total energy: -269.769 eV per cell
DFT formation energy: 0.2304 eV per atom

```
data_La2Nd15Y2
_symmetry_space_group_name_H-M 'R -3 m'
_symmetry_Int_Tables_number 166
_symmetry_space_group_name_Hall '-R 3 2"'
_cell_length_a 11.5178
_cell_length_b 11.5178
_cell_length_c 18.1224
_cell_angle_alpha 90.00
_cell_angle_beta 90.00
_cell_angle_gamma 120.00
loop_
_atom_site_label
_atom_site_type_symbol
_atom_site_fract_x
_atom_site_fract_y
_atom_site_fract_z
_atom_site_occupancy
La1 La 0.0000 0.0000 0.1772 1
Nd1 Nd 0.0000 0.2943 0.5000 1
Nd2 Nd 0.0000 0.5000 0.0000 1
Nd3 Nd 0.0145 0.5072 0.6370 1
Y1 Y 0.0000 0.0000 0.4056 1
```

[6]
Entry from the Alexandria database: La4NdY5 after structural relaxation (PBE).

Computed properties:
crystal system: tetragonal
energy relative to the lowest polymorph listed for this composition: 0.0 kJ per mole of atoms
raw total energy: -110.121 eV per cell
DFT formation energy: 0.1737 eV per atom

```
data_La4NdY5
_symmetry_space_group_name_H-M 'P 4/n m m'
_symmetry_Int_Tables_number 129
_cell_length_a 10.757
_cell_length_b 10.757
_cell_length_c 5.964
_cell_angle_alpha 90.00
_cell_angle_beta 90.00
_cell_angle_gamma 90.00
loop_
_symmetry_equiv_pos_as_xyz
'x,y,z'
'-x,-y,-z'
'-y+1/2,x,z'
'y+1/2,-x,-z'
'-x+1/2,-y+1/2,z'
'x+1/2,y+1/2,-z'
'y,-x+1/2,z'
'-y,x+1/2,-z'
'x+1/2,-y,-z'
'-x+1/2,y,z'
'-y,-x,-z'
'y,x,z'
'-x,y+1/2,-z'
'x,-y+1/2,z'
'y+1/2,x+1/2,-z'
'-y+1/2,-x+1/2,z'
loop_
_atom_site_label
_atom_site_type_symbol
_atom_site_fract_x
_atom_site_fract_y
_atom_site_fract_z
_atom_site_occupancy
La1 La 0.045 0.750 0.128 1
Nd1 Nd 0.250 0.250 0.886 1
Y1 Y 0.089 0.089 0.344 1
Y2 Y 0.250 0.750 0.500 1
```

[7]
Entry from the Alexandria database: La2Nd6Y5 after structural relaxation (PBE).

Computed properties:
crystal system: orthorhombic
raw total energy: -139.038 eV per cell
DFT formation energy: 0.0972 eV per atom

```
data_La2Nd6Y5
_symmetry_space_group_name_H-M 'P b a m'
_symmetry_Int_Tables_number 55
_symmetry_space_group_name_Hall '-P 2 2ab'
_cell_length_a 11.916
_cell_length_b 20.760
_cell_length_c 3.687
_cell_angle_alpha 90.00
_cell_angle_beta 90.00
_cell_angle_gamma 90.00
loop_
_atom_site_label
_atom_site_type_symbol
_atom_site_fract_x
_atom_site_fract_y
_atom_site_fract_z
_atom_site_occupancy
La1 La 0.171 0.219 0.000 1
Nd1 Nd 0.063 0.926 0.000 1
Nd2 Nd 0.077 0.637 0.000 1
Nd3 Nd 0.178 0.375 0.500 1
Y1 Y 0.000 0.500 0.500 1
Y2 Y 0.091 0.781 0.500 1
Y3 Y 0.199 0.058 0.500 1
```

[8]
Entry from the Alexandria database: LaNd2Y3 after structural relaxation (PBE).

Computed properties:
crystal system: monoclinic
energy relative to the lowest polymorph listed for this composition: 0.0 kJ per mole of atoms
raw total energy: -133.849 eV per cell
DFT formation energy: 0.0655 eV per atom

```
data_LaNd2Y3
_symmetry_space_group_name_H-M 'C 1 2/c 1'
_symmetry_Int_Tables_number 15
_symmetry_space_group_name_Hall '-C 2yc'
_cell_length_a 9.101
_cell_length_b 10.020
_cell_length_c 9.122
_cell_angle_alpha 90.00
_cell_angle_beta 101.39
_cell_angle_gamma 90.00
loop_
_atom_site_label
_atom_site_type_symbol
_atom_site_fract_x
_atom_site_fract_y
_atom_site_fract_z
_atom_site_occupancy
La1 La 0.000 0.086 0.250 1
Nd1 Nd 0.123 0.254 0.626 1
Y1 Y 0.000 0.419 0.250 1
Y2 Y 0.249 0.084 0.999 1
```

[9]
Entry from the Alexandria database: La8NdY2 after structural relaxation (PBE).

Computed properties:
crystal system: monoclinic
energy relative to the lowest polymorph listed for this composition: 9.8 kJ per mole of atoms
raw total energy: -111.641 eV per cell
DFT formation energy: 0.1177 eV per atom

```
data_La8NdY2
_symmetry_space_group_name_H-M 'C 1 2/m 1'
_symmetry_Int_Tables_number 12
_symmetry_space_group_name_Hall '-C 2y'
_cell_length_a 9.322
_cell_length_b 17.004
_cell_length_c 6.127
_cell_angle_alpha 90.00
_cell_angle_beta 124.90
_cell_angle_gamma 90.00
loop_
_atom_site_label
_atom_site_type_symbol
_atom_site_fract_x
_atom_site_fract_y
_atom_site_fract_z
_atom_site_occupancy
La1 La 0.000 0.205 0.000 1
La2 La 0.078 0.500 0.800 1
La3 La 0.218 0.120 0.689 1
Nd1 Nd 0.000 0.000 0.000 1
Y1 Y 0.000 0.312 0.500 1
```

[10]
Entry from the Alexandria database: LaNd7Y3 after structural relaxation (PBE).

Computed properties:
crystal system: trigonal
energy relative to the lowest polymorph listed for this composition: 0.0 kJ per mole of atoms
raw total energy: -55.658 eV per cell
DFT formation energy: 0.1851 eV per atom

```
data_LaNd7Y3
_symmetry_space_group_name_H-M 'P 3 m 1'
_symmetry_Int_Tables_number 156
_symmetry_space_group_name_Hall 'P 3 -2"'
_cell_length_a 7.2637
_cell_length_b 7.2637
_cell_length_c 8.7703
_cell_angle_alpha 90.00
_cell_angle_beta 90.00
_cell_angle_gamma 120.00
loop_
_atom_site_label
_atom_site_type_symbol
_atom_site_fract_x
_atom_site_fract_y
_atom_site_fract_z
_atom_site_occupancy
La1 La 0.0000 0.0000 0.0000 1
Nd1 Nd 0.0007 0.5003 0.0175 1
Nd2 Nd 0.3330 0.1665 0.6699 1
Nd3 Nd 0.3333 0.6667 0.6858 1
Y1 Y 0.1670 0.3340 0.3447 1
```